(1)
First-principles (PBE) data for a relaxed Tb2Ho2Er3 crystal, as listed in Alexandria.

DFT formation energy, eV per atom: 0.020

Cell and atoms, written as extended XYZ:
```
7
Lattice="-2.5759 4.0647 1.2596 2.7572 -2.7477 4.6835 6.0403 4.5184 -2.2282" Properties=species:S:1:pos:R:3 pbc="T T T"
Tb 4.7268 5.4943 1.7585
Tb 1.4948 0.3411 1.9564
Ho 1.7023 2.7143 4.5445
Ho 4.5193 3.1211 -0.8296
Er -1.2879 2.0323 0.6298
Er 1.7200 3.7639 1.1934
Er 4.5016 2.0714 2.5215
```

(2)
First-principles (PBE) data for a relaxed Sr2MnSe crystal, as listed in Alexandria.

Formation energy without anion corrections, eV/atom: -0.31

Cell and atoms, written as extended XYZ:
```
4
Lattice="6.9847 -0.0032 0.0000 4.0854 5.6652 0.0000 -5.5350 -2.8310 3.1834" Properties=species:S:1:pos:R:3 pbc="T T T"
Mn 5.5350 2.8310 0.0000
Se 3.4923 -0.0016 1.5917
Sr 0.0000 0.0000 0.0000
Sr 2.0427 2.8326 1.5917
```

(3)
First-principles (PBE) data for a relaxed HfInTcNi crystal, as listed in Alexandria.

DFT formation energy, eV per atom: -0.197

Cell and atoms, written as extended XYZ:
```
4
Lattice="4.5490 0.0000 0.0000 2.2745 3.9395 0.0000 2.2745 1.3132 3.7142" Properties=species:S:1:pos:R:3 pbc="T T T"
Ni 0.0000 0.0000 0.0000
Hf 2.2745 1.3132 0.9286
Tc 4.5490 2.6264 1.8571
In 6.8235 3.9395 2.7857
```

(4)
First-principles (PBE) data for a relaxed ZnRePb2O6 crystal, as listed in Alexandria.

Formation energy without anion corrections, eV/atom: -1.31

Cell and atoms, written as extended XYZ:
```
10
Lattice="-0.5058 2.6805 5.0989 0.4227 -5.0307 2.6865 3.9950 1.6172 -3.6870" Properties=species:S:1:pos:R:3 pbc="T T T"
Zn -0.2529 1.3402 2.5495
Re 0.2113 -2.5154 1.3433
Pb 1.9730 0.1842 0.0345
Pb 1.9389 -0.9172 4.0640
O 2.0494 -2.1274 1.7806
O 3.6723 0.9065 -1.8077
O 0.0362 0.7799 4.6141
O 3.8756 -1.5130 -0.5156
O 0.2395 -1.6395 5.9062
O 1.8625 1.3943 2.3179
```